Computed, not measured: a relaxed MnCd2InO4 crystal at the PBE+U level of DFT.

Cell: 5.0701 5.0701 6.2273 Å, 114.02 114.02 90.00°
Closest atoms and distances in Å follow each position.
Fractional coordinates of all 8 atoms:
O (0.8607, 0.3652, 0.2259)  1 Mn 2.12, 1 In 2.14, 2 Cd 2.27
Cd (0.7500, 0.2500, 0.5000)  4 O 2.27
O (0.6350, 0.6350, 0.7743)  1 Mn 2.12, 1 In 2.14, 2 Cd 2.27
O (0.1393, 0.1393, 0.7743)  1 Mn 2.12, 1 In 2.14, 2 Cd 2.27
Mn (0.5000, 0.5000, 0.9999)  4 O 2.12
Cd (0.2500, 0.7500, 0.5000)  4 O 2.27
O (0.3652, 0.8607, 0.2259)  1 Mn 2.12, 1 In 2.14, 2 Cd 2.27
In (0.0001, 0.0001, 0.0002)  4 O 2.14

Properties
The value obtained for the raw total energy is -5.2014 eV/atom. As for the volume: 130.9 Å³/cell. The density of states at the Fermi level is 1.26 states/eV/cell. Its crystal system is tetragonal.